{
  "formula": "SmDy12Ho3",
  "functional": "PBE-GGA",
  "state": "optimized geometry",
  "delta_e_f_ev_per_atom": 0.019,
  "dft_energy_ev_per_atom": -4.586,
  "m_tot_mub_per_fu": 0.0,
  "lattice_angstrom": [[-3.815, -3.105, 0.957], [-0.628, -0.744, -4.916], [12.744, -15.443, 0.706]],
  "species": ["Dy", "Dy", "Dy", "Dy", "Dy", "Dy", "Dy", "Ho", "Ho", "Dy", "Dy", "Dy", "Dy", "Ho", "Sm", "Dy"],
  "fractional_positions": [[0.000, 0.500, 0.874], [0.500, 0.500, 0.500], [0.500, 0.000, 0.625], [0.000, 0.500, 0.126], [0.500, 0.000, 0.375], [0.500, 0.500, 0.251], [0.000, 0.500, 0.375], [0.000, 0.000, 0.500], [0.000, 0.000, 0.749], [0.500, 0.000, 0.874], [0.500, 0.000, 0.126], [0.000, 0.500, 0.625], [0.500, 0.500, 0.749], [0.000, 0.000, 0.251], [0.000, 0.000, 0.000], [0.500, 0.500, 0.000]]
}

{
  "formula": "SmDy3Ho5",
  "functional": "PBE-GGA",
  "state": "optimized geometry",
  "delta_e_f_ev_per_atom": 0.420,
  "dft_energy_ev_per_atom": -4.181,
  "m_tot_mub_per_fu": 0.0,
  "relative_energy_mev_per_atom": 96.0,
  "lattice_angstrom": [[-3.687, 7.138, -4.593], [-2.037, 0.728, -8.998], [-11.473, 0.799, -5.461]],
  "species": ["Ho", "Dy", "Ho", "Sm", "Sm", "Ho", "Dy", "Ho", "Ho", "Dy", "Ho", "Dy", "Dy", "Ho", "Ho", "Dy", "Ho", "Ho"],
  "fractional_positions": [[0.442, 0.442, 0.434], [0.694, 0.694, 0.686], [0.630, 0.630, 0.071], [0.108, 0.108, 0.128], [0.892, 0.892, 0.872], [0.320, 0.680, 0.000], [0.835, 0.835, 0.341], [0.370, 0.370, 0.929], [0.079, 0.490, 0.780], [0.000, 0.000, 0.000], [0.490, 0.079, 0.780], [0.306, 0.306, 0.314], [0.000, 0.000, 0.500], [0.558, 0.558, 0.566], [0.510, 0.921, 0.220], [0.165, 0.165, 0.659], [0.921, 0.510, 0.220], [0.680, 0.320, 0.000]]
}

{
  "formula": "SmDy5Ho4",
  "functional": "PBE-GGA",
  "state": "optimized geometry",
  "delta_e_f_ev_per_atom": 0.305,
  "dft_energy_ev_per_atom": -4.299,
  "m_tot_mub_per_fu": 0.0,
  "lattice_angstrom": [[6.276, 0.000, 0.000], [3.138, 7.183, 0.000], [3.138, 0.000, 7.183]],
  "species": ["Ho", "Ho", "Dy", "Dy", "Sm", "Dy", "Dy", "Ho", "Dy", "Ho"],
  "fractional_positions": [[0.800, 0.701, 0.603], [0.403, 0.397, 0.701], [0.183, 0.913, 0.621], [0.679, 0.000, 0.000], [0.222, 0.000, 0.000], [0.096, 0.621, 0.087], [0.717, 0.087, 0.379], [0.104, 0.299, 0.397], [0.804, 0.379, 0.913], [0.501, 0.603, 0.299]]
}

{
  "formula": "SmDy14Ho",
  "functional": "PBE-GGA",
  "state": "optimized geometry",
  "delta_e_f_ev_per_atom": 0.002,
  "dft_energy_ev_per_atom": -4.606,
  "m_tot_mub_per_fu": 0.0,
  "lattice_angstrom": [[7.069, -0.855, 0.000], [-2.793, 6.550, 0.000], [0.000, 0.000, 11.454]],
  "species": ["Dy", "Dy", "Dy", "Dy", "Dy", "Dy", "Dy", "Dy", "Sm", "Dy", "Dy", "Dy", "Ho", "Dy", "Dy", "Dy"],
  "fractional_positions": [[0.375, 0.125, 0.249], [0.875, 0.625, 0.249], [0.208, 0.292, 0.500], [0.875, 0.125, 0.249], [0.042, 0.458, 0.000], [0.375, 0.625, 0.250], [0.375, 0.625, 0.750], [0.875, 0.125, 0.751], [0.708, 0.292, 0.500], [0.708, 0.792, 0.500], [0.042, 0.958, 0.000], [0.542, 0.958, 0.000], [0.208, 0.792, 0.500], [0.875, 0.625, 0.751], [0.542, 0.458, 0.000], [0.375, 0.125, 0.751]]
}

{
  "formula": "Sm3DyHo12",
  "functional": "PBE-GGA",
  "state": "optimized geometry",
  "delta_e_f_ev_per_atom": 0.020,
  "dft_energy_ev_per_atom": -4.586,
  "m_tot_mub_per_fu": 0.0,
  "lattice_angstrom": [[-4.226, 2.673, -0.314], [-2.533, -4.148, -1.215], [-3.635, -3.465, 19.409]],
  "species": ["Sm", "Ho", "Ho", "Ho", "Sm", "Ho", "Ho", "Ho", "Ho", "Ho", "Dy", "Ho", "Ho", "Sm", "Ho", "Ho"],
  "fractional_positions": [[0.000, 0.000, 0.500], [0.000, 0.500, 0.626], [0.500, 0.500, 0.751], [0.500, 0.000, 0.374], [0.000, 0.000, 0.249], [0.500, 0.500, 0.500], [0.500, 0.500, 0.249], [0.500, 0.000, 0.124], [0.000, 0.500, 0.374], [0.500, 0.500, 0.000], [0.000, 0.000, 0.000], [0.500, 0.000, 0.626], [0.500, 0.000, 0.876], [0.000, 0.000, 0.751], [0.000, 0.500, 0.124], [0.000, 0.500, 0.876]]
}

{
  "formula": "SmDyHo5",
  "functional": "PBE-GGA",
  "state": "optimized geometry",
  "delta_e_f_ev_per_atom": 0.196,
  "dft_energy_ev_per_atom": -4.406,
  "m_tot_mub_per_fu": 0.0,
  "relative_energy_mev_per_atom": 0.0,
  "lattice_angstrom": [[6.143, 0.143, 2.731], [2.327, 5.687, 2.731], [1.020, 0.702, 13.565]],
  "species": ["Ho", "Ho", "Sm", "Ho", "Ho", "Ho", "Ho", "Sm", "Ho", "Dy", "Ho", "Ho", "Dy", "Ho"],
  "fractional_positions": [[0.164, 0.391, 0.753], [0.162, 0.838, 0.750], [0.278, 0.722, 0.250], [0.309, 0.347, 0.000], [0.838, 0.162, 0.250], [0.836, 0.609, 0.247], [0.691, 0.653, 0.000], [0.722, 0.278, 0.750], [0.391, 0.164, 0.253], [0.000, 0.000, 0.500], [0.609, 0.836, 0.747], [0.653, 0.691, 0.500], [0.000, 0.000, 0.000], [0.347, 0.309, 0.500]]
}

{
  "formula": "Sm4Dy3Ho2",
  "functional": "PBE-GGA",
  "state": "optimized geometry",
  "delta_e_f_ev_per_atom": 0.017,
  "dft_energy_ev_per_atom": -4.631,
  "m_tot_mub_per_fu": 0.0,
  "relative_energy_mev_per_atom": 0.0,
  "lattice_angstrom": [[5.058, 0.000, 0.000], [-2.529, 5.381, -5.340], [0.000, -3.632, 14.302]],
  "species": ["Sm", "Sm", "Sm", "Dy", "Ho", "Dy", "Sm", "Dy", "Ho"],
  "fractional_positions": [[0.665, 0.330, 0.999], [0.335, 0.670, 0.001], [0.888, 0.775, 0.666], [0.000, 0.000, 0.000], [0.780, 0.560, 0.335], [0.557, 0.114, 0.667], [0.112, 0.225, 0.334], [0.443, 0.886, 0.333], [0.220, 0.440, 0.665]]
}

{
  "formula": "Sm2Dy12Ho",
  "functional": "PBE-GGA",
  "state": "optimized geometry",
  "delta_e_f_ev_per_atom": 0.332,
  "dft_energy_ev_per_atom": -4.284,
  "m_tot_mub_per_fu": 0.0,
  "lattice_angstrom": [[6.407, 0.000, 0.000], [0.000, 6.407, 0.000], [0.000, 0.000, 24.920]],
  "species": ["Dy", "Dy", "Dy", "Dy", "Dy", "Ho", "Dy", "Sm", "Dy", "Dy", "Dy", "Dy", "Dy", "Sm", "Dy", "Dy", "Sm", "Dy", "Dy", "Dy", "Dy", "Dy", "Dy", "Ho", "Dy", "Dy", "Dy", "Sm", "Dy", "Dy"],
  "fractional_positions": [[0.186, 0.314, 0.885], [0.314, 0.186, 0.115], [0.832, 0.668, 0.439], [0.500, 0.500, 0.785], [0.000, 0.000, 0.340], [0.000, 0.500, 0.000], [0.332, 0.832, 0.439], [0.500, 0.000, 0.272], [0.168, 0.332, 0.439], [0.668, 0.168, 0.439], [0.832, 0.332, 0.561], [0.186, 0.686, 0.115], [0.668, 0.832, 0.561], [0.000, 0.500, 0.272], [0.332, 0.168, 0.561], [0.168, 0.668, 0.561], [0.500, 0.000, 0.728], [0.686, 0.814, 0.115], [0.500, 0.500, 0.660], [0.000, 0.000, 0.215], [0.000, 0.000, 0.785], [0.500, 0.500, 0.215], [0.000, 0.000, 0.660], [0.500, 0.000, 0.000], [0.814, 0.314, 0.115], [0.500, 0.500, 0.340], [0.314, 0.814, 0.885], [0.000, 0.500, 0.728], [0.686, 0.186, 0.885], [0.814, 0.686, 0.885]]
}

{
  "formula": "Sm2Dy2Ho3",
  "functional": "PBE-GGA",
  "state": "optimized geometry",
  "delta_e_f_ev_per_atom": 0.018,
  "dft_energy_ev_per_atom": -4.607,
  "m_tot_mub_per_fu": 0.0,
  "relative_energy_mev_per_atom": 0.0,
  "lattice_angstrom": [[3.528, -0.120, 0.452], [0.415, 10.662, -0.444], [0.993, -0.384, 6.057]],
  "species": ["Ho", "Dy", "Ho", "Dy", "Ho", "Sm", "Sm"],
  "fractional_positions": [[0.000, 0.000, 0.000], [0.571, 0.712, 0.858], [0.857, 0.571, 0.286], [0.429, 0.288, 0.142], [0.143, 0.429, 0.714], [0.714, 0.145, 0.571], [0.286, 0.855, 0.429]]
}

{
  "formula": "SmDy2Ho",
  "functional": "PBE-GGA",
  "state": "optimized geometry",
  "delta_e_f_ev_per_atom": 0.019,
  "dft_energy_ev_per_atom": -4.606,
  "m_tot_mub_per_fu": 0.0,
  "relative_energy_mev_per_atom": 5.7,
  "lattice_angstrom": [[-3.103, 1.671, 0.474], [-1.327, -2.907, 1.559], [3.172, 3.352, 8.949]],
  "species": ["Ho", "Sm", "Dy", "Dy"],
  "fractional_positions": [[0.500, 0.500, 0.000], [0.500, 0.500, 0.500], [0.000, 0.000, 0.753], [0.000, 0.000, 0.247]]
}

{
  "formula": "Sm3Dy5Ho4",
  "functional": "PBE-GGA",
  "state": "optimized geometry",
  "delta_e_f_ev_per_atom": 0.017,
  "dft_energy_ev_per_atom": -4.607,
  "m_tot_mub_per_fu": 0.0,
  "relative_energy_mev_per_atom": 0.0,
  "lattice_angstrom": [[-6.604, -1.387, -2.246], [9.715, -0.640, -5.626], [-9.069, -5.220, 7.401]],
  "species": ["Sm", "Ho", "Dy", "Ho", "Sm", "Sm", "Ho", "Dy", "Dy", "Dy", "Ho", "Dy"],
  "fractional_positions": [[0.415, 0.832, 0.666], [0.167, 0.333, 0.166], [0.500, 0.000, 0.500], [0.833, 0.667, 0.834], [0.000, 0.000, 0.500], [0.585, 0.168, 0.334], [0.917, 0.834, 0.668], [0.251, 0.499, 0.999], [0.667, 0.332, 0.166], [0.749, 0.501, 0.001], [0.083, 0.166, 0.332], [0.333, 0.668, 0.834]]
}

{
  "formula": "Sm4Dy5Ho4",
  "functional": "PBE-GGA",
  "state": "optimized geometry",
  "delta_e_f_ev_per_atom": 0.017,
  "dft_energy_ev_per_atom": -4.614,
  "m_tot_mub_per_fu": 0.0,
  "lattice_angstrom": [[4.868, 0.000, 1.238], [2.434, 9.092, 0.619], [0.194, 0.000, 9.430]],
  "species": ["Sm", "Dy", "Ho", "Sm", "Dy", "Ho", "Dy", "Dy", "Dy", "Sm", "Ho", "Sm", "Ho"],
  "fractional_positions": [[0.383, 0.695, 0.539], [0.539, 0.770, 0.152], [0.154, 0.077, 0.616], [0.078, 0.539, 0.305], [0.309, 0.152, 0.230], [0.770, 0.384, 0.077], [0.000, 0.000, 0.000], [0.691, 0.848, 0.770], [0.461, 0.230, 0.848], [0.617, 0.305, 0.461], [0.230, 0.616, 0.923], [0.922, 0.461, 0.695], [0.846, 0.923, 0.384]]
}

{
  "formula": "Sm4Dy3Ho4",
  "functional": "PBE-GGA",
  "state": "optimized geometry",
  "delta_e_f_ev_per_atom": 0.178,
  "dft_energy_ev_per_atom": -4.457,
  "m_tot_mub_per_fu": 0.0,
  "relative_energy_mev_per_atom": 116.3,
  "lattice_angstrom": [[3.481, 0.000, -0.641], [-1.013, 9.772, -5.501], [0.201, -0.351, 10.862]],
  "species": ["Ho", "Sm", "Sm", "Sm", "Dy", "Dy", "Ho", "Ho", "Ho", "Dy", "Sm"],
  "fractional_positions": [[0.329, 0.082, 0.657], [0.500, 0.211, 0.000], [0.785, 0.285, 0.569], [0.215, 0.715, 0.431], [0.892, 0.892, 0.784], [0.000, 0.500, 0.000], [0.671, 0.425, 0.343], [0.329, 0.575, 0.657], [0.671, 0.918, 0.343], [0.108, 0.108, 0.216], [0.500, 0.789, 0.000]]
}

{
  "formula": "SmDyHo",
  "functional": "PBE-GGA",
  "state": "optimized geometry",
  "delta_e_f_ev_per_atom": 0.008,
  "dft_energy_ev_per_atom": -4.625,
  "m_tot_mub_per_fu": 0.0,
  "relative_energy_mev_per_atom": 0.0,
  "lattice_angstrom": [[-1.695, -3.166, 0.169], [1.845, -3.058, -0.434], [-0.289, -1.441, 8.744]],
  "species": ["Ho", "Dy", "Sm"],
  "fractional_positions": [[0.209, 0.517, 0.104], [0.764, 0.739, 0.777], [0.650, 0.296, 0.441]]
}

{
  "formula": "Sm3Dy5Ho4",
  "functional": "PBE-GGA",
  "state": "optimized geometry",
  "delta_e_f_ev_per_atom": 0.237,
  "dft_energy_ev_per_atom": -4.386,
  "m_tot_mub_per_fu": 0.3,
  "relative_energy_mev_per_atom": 220.6,
  "lattice_angstrom": [[-0.191, -3.773, -4.514], [-3.395, -7.399, 2.490], [-6.031, 3.605, -6.596]],
  "species": ["Dy", "Ho", "Ho", "Sm", "Dy", "Sm", "Dy", "Dy", "Ho", "Dy", "Sm", "Ho"],
  "fractional_positions": [[0.377, 0.049, 0.198], [0.167, 0.044, 0.623], [0.860, 0.222, 0.059], [0.000, 0.500, 0.500], [0.500, 0.500, 0.500], [0.478, 0.314, 0.730], [0.785, 0.542, 0.888], [0.623, 0.951, 0.802], [0.833, 0.956, 0.377], [0.215, 0.458, 0.112], [0.522, 0.686, 0.270], [0.140, 0.778, 0.941]]
}

{
  "formula": "Sm5Dy2Ho12",
  "functional": "PBE-GGA",
  "state": "optimized geometry",
  "delta_e_f_ev_per_atom": 0.019,
  "dft_energy_ev_per_atom": -4.598,
  "m_tot_mub_per_fu": 0.0,
  "relative_energy_mev_per_atom": 0.0,
  "lattice_angstrom": [[-3.987, -0.736, -4.626], [3.902, -9.373, -3.248], [-8.912, 3.413, 8.525]],
  "species": ["Ho", "Sm", "Ho", "Ho", "Ho", "Sm", "Ho", "Ho", "Dy", "Ho", "Ho", "Ho", "Ho", "Ho", "Sm", "Sm", "Ho", "Dy", "Sm"],
  "fractional_positions": [[0.369, 0.262, 0.974], [0.842, 0.315, 0.868], [0.526, 0.948, 0.606], [0.211, 0.578, 0.341], [0.317, 0.368, 0.763], [0.263, 0.474, 0.553], [0.789, 0.422, 0.659], [0.105, 0.790, 0.921], [0.580, 0.843, 0.817], [0.474, 0.052, 0.394], [0.053, 0.895, 0.712], [0.631, 0.738, 0.026], [0.895, 0.210, 0.079], [0.947, 0.105, 0.288], [0.000, 0.000, 0.500], [0.737, 0.526, 0.447], [0.683, 0.632, 0.237], [0.420, 0.157, 0.183], [0.158, 0.685, 0.132]]
}

{
  "formula": "Sm2Dy5Ho",
  "functional": "PBE-GGA",
  "state": "optimized geometry",
  "delta_e_f_ev_per_atom": 0.017,
  "dft_energy_ev_per_atom": -4.612,
  "m_tot_mub_per_fu": 0.0,
  "lattice_angstrom": [[-3.952, -4.349, 1.894], [3.178, -6.828, -5.625], [7.291, 0.342, 5.956]],
  "species": ["Dy", "Sm", "Dy", "Sm", "Dy", "Dy", "Ho", "Dy", "Ho", "Dy", "Dy", "Dy", "Dy", "Sm", "Sm", "Dy"],
  "fractional_positions": [[0.751, 0.406, 0.968], [0.749, 0.782, 0.093], [0.750, 0.031, 0.843], [0.749, 0.531, 0.344], [0.250, 0.969, 0.157], [0.249, 0.594, 0.032], [0.250, 0.343, 0.281], [0.249, 0.094, 0.531], [0.750, 0.657, 0.719], [0.751, 0.156, 0.219], [0.249, 0.844, 0.781], [0.750, 0.280, 0.594], [0.751, 0.906, 0.469], [0.251, 0.469, 0.656], [0.251, 0.218, 0.907], [0.250, 0.720, 0.406]]
}

{
  "formula": "Sm5Dy4Ho3",
  "functional": "PBE-GGA",
  "state": "optimized geometry",
  "delta_e_f_ev_per_atom": 0.016,
  "dft_energy_ev_per_atom": -4.629,
  "m_tot_mub_per_fu": 0.0,
  "relative_energy_mev_per_atom": 0.0,
  "lattice_angstrom": [[-3.720, 3.974, -4.625], [2.460, -11.019, -0.401], [-7.654, 9.748, 3.509]],
  "species": ["Dy", "Dy", "Dy", "Ho", "Sm", "Sm", "Dy", "Ho", "Sm", "Sm", "Sm", "Ho"],
  "fractional_positions": [[0.084, 0.168, 0.334], [0.916, 0.832, 0.666], [0.165, 0.331, 0.166], [0.585, 0.168, 0.333], [0.500, 0.000, 0.500], [0.665, 0.334, 0.168], [0.835, 0.669, 0.834], [0.415, 0.832, 0.667], [0.750, 0.499, 0.000], [0.250, 0.501, 0.000], [0.335, 0.666, 0.832], [0.000, 0.000, 0.500]]
}

{
  "formula": "Sm15Dy2Ho2",
  "functional": "PBE-GGA",
  "state": "optimized geometry",
  "delta_e_f_ev_per_atom": 0.276,
  "dft_energy_ev_per_atom": -4.416,
  "m_tot_mub_per_fu": 0.0,
  "lattice_angstrom": [[-7.968, 2.902, 2.483], [-3.260, -7.114, 4.103], [1.439, 2.048, 8.474]],
  "species": ["Sm", "Ho", "Sm", "Sm", "Sm", "Sm", "Sm", "Sm", "Sm", "Sm", "Dy", "Sm", "Sm", "Sm", "Sm", "Sm", "Dy", "Ho", "Sm"],
  "fractional_positions": [[0.379, 0.846, 0.379], [0.907, 0.907, 0.907], [0.846, 0.379, 0.379], [0.704, 0.296, 0.000], [0.000, 0.500, 0.000], [0.621, 0.621, 0.154], [0.621, 0.154, 0.621], [0.000, 0.296, 0.704], [0.500, 0.000, 0.000], [0.704, 0.000, 0.296], [0.684, 0.684, 0.684], [0.000, 0.000, 0.500], [0.296, 0.000, 0.704], [0.296, 0.704, 0.000], [0.379, 0.379, 0.846], [0.154, 0.621, 0.621], [0.316, 0.316, 0.316], [0.093, 0.093, 0.093], [0.000, 0.704, 0.296]]
}